# 1
First-principles (PBE) data for crystalline YMg3Cd9 at its relaxed geometry, as listed in Alexandria via LeMat-Bulk.

Its space group is C2/m. The crystal system is monoclinic. The calculated formation energy comes out at -0.14 eV per atom. The theoretical density comes out at 6.7 g cm⁻³.

Cell: 7.597 7.597 7.560 Å, 98.96 98.96 133.39°
Element x y z (fractional)
Y: 0.000 0.000 0.000
Mg: 0.000 0.000 0.500
Mg: 0.000 0.500 0.000
Mg: 0.500 0.000 0.000
Cd: 0.005 0.657 0.656
Cd: 0.279 0.494 0.787
Cd: 0.343 0.995 0.344
Cd: 0.494 0.279 0.787
Cd: 0.500 0.500 0.500
Cd: 0.506 0.721 0.213
Cd: 0.657 0.005 0.656
Cd: 0.721 0.506 0.213
Cd: 0.995 0.343 0.344

---

# 2
First-principles (PBE) data for crystalline Y3Mg2Cd7 at its relaxed geometry, as listed in Alexandria via LeMat-Bulk.

Its space group is P2/m. The crystal system is monoclinic. The calculated formation energy comes out at -0.15 eV per atom. The theoretical density comes out at 6.0 g cm⁻³.

Cell: 5.162 4.757 12.337 Å, 90.00 90.15 90.00°
Element x y z (fractional)
Y: 0.000 0.000 0.000
Y: 0.497 0.500 0.672
Y: 0.503 0.500 0.328
Mg: 0.004 0.000 0.288
Mg: 0.996 0.000 0.712
Cd: 0.002 0.500 0.161
Cd: 0.250 0.000 0.501
Cd: 0.498 0.000 0.845
Cd: 0.500 0.500 0.000
Cd: 0.502 0.000 0.155
Cd: 0.750 0.000 0.499
Cd: 0.998 0.500 0.839

---

# 3
First-principles (PBE) data for crystalline YMg4Cd2 at its relaxed geometry, as listed in Alexandria via LeMat-Bulk.

Its space group is P4_2/mnm. The crystal system is tetragonal. The calculated formation energy comes out at -0.12 eV per atom. The theoretical density comes out at 4.1 g cm⁻³.

Cell: 8.417 8.417 4.699 Å, 90.00 90.00 90.00°
Element x y z (fractional)
Y: 0.000 0.000 0.000
Y: 0.500 0.500 0.500
Mg: 0.102 0.349 0.500
Mg: 0.151 0.602 0.000
Mg: 0.349 0.102 0.500
Mg: 0.398 0.849 0.000
Mg: 0.602 0.151 0.000
Mg: 0.651 0.898 0.500
Mg: 0.849 0.398 0.000
Mg: 0.898 0.651 0.500
Cd: 0.206 0.794 0.500
Cd: 0.294 0.294 0.000
Cd: 0.706 0.706 0.000
Cd: 0.794 0.206 0.500

---

# 4
First-principles (PBE) data for crystalline YMg6Cd6 at its relaxed geometry, as listed in Alexandria via LeMat-Bulk.

Its space group is Immm. The crystal system is orthorhombic. The calculated formation energy comes out at -0.13 eV per atom. The theoretical density comes out at 5.1 g cm⁻³.

Cell: 7.651 7.651 7.651 Å, 134.71 98.84 98.21°
Element x y z (fractional)
Y: 0.000 0.000 0.000
Mg: 0.208 0.708 0.500
Mg: 0.349 0.349 0.000
Mg: 0.350 0.000 0.350
Mg: 0.650 0.000 0.650
Mg: 0.651 0.651 0.000
Mg: 0.792 0.292 0.500
Cd: 0.000 0.000 0.500
Cd: 0.000 0.500 0.000
Cd: 0.213 0.500 0.713
Cd: 0.500 0.000 0.000
Cd: 0.500 0.500 0.500
Cd: 0.787 0.500 0.287